# PBE+U RbV2SeO8, optimized geometry
# total energy	-6.359	eV/atom
# crystal system	monoclinic
data_RbV2SeO8
_space_group_name_H-M_alt 'C 1 2/m 1'
_space_group_IT_number 12
_cell_length_a 8.7689
_cell_length_b 5.6052
_cell_length_c 8.2370
_cell_angle_alpha 90.00
_cell_angle_beta 94.32
_cell_angle_gamma 90.00
loop_
_space_group_symop_operation_xyz
'x,y,z'
'-x,-y,-z'
'-x,y,-z'
'x,-y,z'
'x+1/2,y+1/2,z'
'-x+1/2,-y+1/2,-z'
'-x+1/2,y+1/2,-z'
'x+1/2,-y+1/2,z'
loop_
_atom_site_label
_atom_site_fract_x
_atom_site_fract_y
_atom_site_fract_z
Rb1 0.0000 0.0000 0.0000
V1 0.1286 0.5000 0.3128
Se1 0.0000 0.0000 0.5000
O1 0.0142 0.2361 0.3332
O2 0.1836 0.5000 0.1257
O3 0.2184 0.0000 0.5356